The following is a DFT calculation (PBE) of a geometry-optimized TbUAl4 structure.

POSCAR file:
```
TbUAl4
1.0
5.548 0.000 0.000
2.774 4.804 0.000
2.774 1.601 4.530
Tb U Al
1 1 4
Cartesian
2.774 1.601 1.132
0.000 0.000 0.000
5.548 3.203 0.558
5.548 1.593 2.834
6.942 4.008 2.834
4.154 4.008 2.834
```

Output
SG: No. 216
E_tot (eV per atom): -5.39
Total magnetic moment (μB per formula unit): 2.746
Energy of formation from the pure elements (kcal/mol of atoms): -5.557
Density (Mg/m³): 6.9

***

The following is a DFT calculation (PBE) of a geometry-optimized ScPaNiOs structure.

POSCAR file:
```
ScPaNiOs
1.0
-2.071 -3.029 2.943
-2.204 -3.793 -1.696
1.843 -4.278 0.652
Sc Ni Pa Os
1 1 1 1
Cartesian
-1.216 -5.550 0.949
-0.608 -2.775 0.475
0.000 0.000 0.000
-1.824 -8.325 1.424
```

Output
SG: No. 216
E_tot (eV per atom): -8.55
Total magnetic moment (μB per formula unit): 0.000
Energy of formation from the pure elements (kcal/mol of atoms): -7.935
Density (Mg/m³): 11.8

***

The following is a DFT calculation (PBE) of a geometry-optimized Tm8P3PdSe4 structure.

POSCAR file:
```
Tm8P3PdSe4
1.0
-1.151 3.768 6.938
-7.879 -1.475 -0.506
5.199 -6.036 -0.447
Tm P Pd Se
8 3 1 4
Cartesian
-0.929 -6.105 0.899
-3.493 -3.128 1.120
0.233 -2.542 1.419
-1.497 -4.246 4.321
-2.334 0.503 1.665
-4.063 -1.201 4.566
-0.337 -0.615 4.866
-2.901 2.362 5.086
-4.515 1.147 3.216
-1.915 -1.871 2.993
-1.340 -3.756 -0.476
-3.939 -0.737 -0.253
-0.575 1.884 3.469
2.024 -1.134 3.246
0.000 0.000 0.000
2.599 -3.018 -0.223
```

Output
SG: No. 166
Formation energy (no corrections) (eV/atom): -1.5863
E_tot (eV per atom): -6.03
Total magnetic moment (μB per formula unit): 0.000
Density (Mg/m³): 8.5

***

The following is a DFT calculation (PBE) of a geometry-optimized Lu4Al2O structure.

POSCAR file:
```
Lu4Al2O
1.0
-3.980 -1.127 1.709
-1.705 -0.242 -4.131
4.819 -6.861 0.837
Lu Al O
4 2 1
Cartesian
-1.538 -5.665 -1.457
0.672 -2.566 -0.127
-0.853 -0.121 -2.065
-1.990 -0.563 0.855
-2.305 -2.736 -1.312
1.439 -5.495 -0.272
0.000 0.000 0.000
```

Output
SG: No. 139
Formation energy (no corrections) (eV/atom): -1.0051
E_tot (eV per atom): -5.37
Total magnetic moment (μB per formula unit): 0.000
Density (Mg/m³): 8.2

***

The following is a DFT calculation (PBE) of a geometry-optimized Ac5Cu4Ag structure.

POSCAR file:
```
Ac5Cu4Ag
1.0
-1.818 -2.025 -2.676
1.568 -3.203 1.359
-15.061 -2.294 11.969
Ac Cu Ag
5 4 1
Cartesian
-1.744 -2.860 0.627
-4.696 -3.310 2.973
-7.656 -3.761 5.326
-10.616 -4.212 7.679
-13.569 -4.661 10.025
-3.076 -0.468 2.444
-6.045 -0.921 4.804
-9.017 -1.373 7.166
-11.986 -1.825 9.525
0.000 0.000 0.000
```

Output
SG: No. 123
E_tot (eV per atom): -4.10
Total magnetic moment (μB per formula unit): 0.000
Energy of formation from the pure elements (kcal/mol of atoms): -2.813
Density (Mg/m³): 8.8

***

The following is a DFT calculation (PBE) of a geometry-optimized Cs2CdAu4 structure.

POSCAR file:
```
Cs2CdAu4
1.0
5.427 0.000 0.000
0.000 5.427 0.000
2.714 2.714 9.076
Cs Au Cd
2 4 1
Cartesian
2.714 2.714 2.602
5.427 5.427 6.474
2.714 2.714 6.326
5.427 5.427 2.750
0.000 2.714 0.000
2.714 0.000 0.000
0.000 0.000 0.000
```

Output
SG: No. 139
E_tot (eV per atom): -2.31
Total magnetic moment (μB per formula unit): 0.000
Energy of formation from the pure elements (kcal/mol of atoms): -1.363
Density (Mg/m³): 7.2

***

The following is a DFT calculation (PBE) of a geometry-optimized PdI2O2 structure.

POSCAR file:
```
PdI2O2
1.0
-0.367 4.512 -1.897
-2.054 1.585 4.167
3.423 0.851 1.363
I O Pd
2 2 1
Cartesian
-1.027 0.792 2.083
-0.183 2.256 -0.948
0.000 0.000 0.000
1.711 0.426 0.682
0.501 3.474 1.817
```

Output
SG: No. 123
Formation energy (no corrections) (eV/atom): 0.8084
E_tot (eV per atom): -2.83
Total magnetic moment (μB per formula unit): 0.677
Density (Mg/m³): 7.2

***

The following is a DFT calculation (PBE) of a geometry-optimized Sr2ZnMo structure.

POSCAR file:
```
Sr2ZnMo
1.0
-6.116 -1.741 -1.641
-4.379 -4.881 -0.351
-3.346 -0.164 4.105
Mo Sr Zn
1 2 1
Cartesian
-10.763 -5.434 1.261
-3.440 -0.250 4.024
-3.290 -1.542 0.676
-6.615 -3.118 1.314
```

Output
SG: No. 44
E_tot (eV per atom): -3.31
Total magnetic moment (μB per formula unit): 2.032
Energy of formation from the pure elements (kcal/mol of atoms): 12.860
Density (Mg/m³): 4.9